Entry 1:
Na2MnCoNiO6 (PBE with a Hubbard U, optimized geometry); total moment = 5.68 μB per formula unit; calculated total energy = -61.55 eV per cell
1.0
-5.1162 -4.7260 2.1256
-3.6944 -6.2747 0.0915
2.1556 -3.9771 4.5347
O Mn Na Ni Co
6 1 2 1 1
Direct
0.3962 0.3962 0.0185
0.7399 0.7399 0.3348
0.9169 0.9169 0.3596
0.2527 0.2527 0.6602
0.0794 0.0794 0.6486
0.6031 0.6031 0.9707
0.3321 0.3321 0.3342
0.4544 0.4544 0.6168
0.2101 0.2101 0.0592
0.0002 0.0002 0.0038
0.6635 0.6635 0.6603


Entry 2:
Na3MnCoNiO6 (PBE with a Hubbard U, optimized geometry); total moment = 9.00 μB per formula unit; calculated total energy = -65.24 eV per cell
1.0
7.9760 0.0005 0.0084
7.4012 2.9731 0.0084
1.7015 0.3290 5.3705
O Co Na Ni Mn
6 1 3 1 1
Direct
0.5806 0.5806 0.6983
0.0709 0.0709 0.3048
0.9274 0.9274 0.6881
0.4155 0.4155 0.3059
0.7513 0.7513 0.2929
0.2584 0.2584 0.7124
0.8262 0.8262 0.4946
0.3347 0.3347 0.0009
0.9998 0.9998 0.9991
0.6684 0.6684 0.9967
0.1667 0.1667 0.5072
0.5000 0.5000 0.4989


Entry 3:
Na3Mn2CoO6 (PBE with a Hubbard U, optimized geometry); total moment = 10.00 μB per formula unit; calculated total energy = -71.85 eV per cell
1.0
5.2452 0.0900 -0.0262
-2.5434 4.5882 -0.0262
-0.9282 -1.6071 5.3967
Na O Mn Co
3 6 2 1
Direct
0.8361 0.1639 0.5000
0.5000 0.5000 0.5000
0.1639 0.8361 0.5000
0.5922 0.9441 0.8009
0.7110 0.7110 0.2000
0.4078 0.0559 0.1991
0.2890 0.2890 0.8000
0.9441 0.5922 0.8009
0.0559 0.4078 0.1991
0.6664 0.3336 0.0000
0.3336 0.6664 0.0000
0.0000 0.0000 0.0000


Entry 4:
Na2Mn2CoO6 (PBE with a Hubbard U, optimized geometry); total moment = 4.98 μB per formula unit; calculated total energy = -67.43 eV per cell
1.0
4.9950 -0.0035 0.0716
-2.4719 4.3405 0.0716
-0.8725 -1.4998 5.4482
O Co Mn Na
6 1 2 2
Direct
0.7358 0.7358 0.6933
0.3915 0.0563 0.6835
0.2642 0.2642 0.3067
0.0563 0.3915 0.6835
0.6085 0.9437 0.3165
0.9437 0.6085 0.3165
0.0000 0.0000 0.5000
0.3394 0.6606 0.5000
0.6606 0.3394 0.5000
0.1662 0.8338 0.0000
0.8338 0.1662 0.0000


Entry 5:
NaMn2CoO4 (PBE with a Hubbard U, optimized geometry); total moment = 10.00 μB per formula unit; calculated total energy = -51.92 eV per cell
1.0
4.4492 0.2465 0.0000
-0.2382 4.4496 0.0000
-2.1055 -2.3481 4.2098
O Co Mn Na
4 1 2 1
Direct
0.6674 0.6674 0.4605
0.2069 0.2069 0.5395
0.9372 0.4371 0.0000
0.4371 0.9372 0.0000
0.4372 0.4372 0.0000
0.1872 0.6872 0.5000
0.6872 0.1872 0.5000
0.9371 0.9371 0.0000


Entry 6:
Na2MnCo2O4 (PBE with a Hubbard U, optimized geometry); total moment = 11.00 μB per formula unit; calculated total energy = -51.40 eV per cell
1.0
-0.0189 -3.0604 1.2100
-3.2968 -0.5728 -5.9757
7.7585 0.8820 2.3523
O Na Co Mn
4 2 2 1
Direct
0.2289 0.4578 0.1277
0.7711 0.5422 0.8723
0.5653 0.1306 0.2508
0.4347 0.8694 0.7492
0.1853 0.3706 0.5659
0.8147 0.6294 0.4341
0.3647 0.7294 0.0936
0.6353 0.2706 0.9064
0.0000 0.0000 0.0000


Question: What is the formula in the second record?
Answer: Na3MnCoNiO6


Copy entry 5 word for word.
NaMn2CoO4 (PBE with a Hubbard U, optimized geometry); total moment = 10.00 μB per formula unit; calculated total energy = -51.92 eV per cell
1.0
4.4492 0.2465 0.0000
-0.2382 4.4496 0.0000
-2.1055 -2.3481 4.2098
O Co Mn Na
4 1 2 1
Direct
0.6674 0.6674 0.4605
0.2069 0.2069 0.5395
0.9372 0.4371 0.0000
0.4371 0.9372 0.0000
0.4372 0.4372 0.0000
0.1872 0.6872 0.5000
0.6872 0.1872 0.5000
0.9371 0.9371 0.0000


Repeat the first record exactly.
Na2MnCoNiO6 (PBE with a Hubbard U, optimized geometry); total moment = 5.68 μB per formula unit; calculated total energy = -61.55 eV per cell
1.0
-5.1162 -4.7260 2.1256
-3.6944 -6.2747 0.0915
2.1556 -3.9771 4.5347
O Mn Na Ni Co
6 1 2 1 1
Direct
0.3962 0.3962 0.0185
0.7399 0.7399 0.3348
0.9169 0.9169 0.3596
0.2527 0.2527 0.6602
0.0794 0.0794 0.6486
0.6031 0.6031 0.9707
0.3321 0.3321 0.3342
0.4544 0.4544 0.6168
0.2101 0.2101 0.0592
0.0002 0.0002 0.0038
0.6635 0.6635 0.6603


Question: Which value of total moment does entry 2 give?
Answer: 9.00 μB per formula unit